Entry 1:
VASP calculation (GGA-PBE) on a relaxed structure of KSb2Br.

E_form (uncorrected) = -0.67 eV per atom
space group = No. 160
relative energy among the computed polymorphs = 0.0000 eV/atom

abc: 9.015 9.015 9.015
angles: 28.14 28.14 28.14
Fractional coordinates of all 4 atoms:
K1 0.000 0.000 0.000
Sb1 0.224 0.224 0.224
Sb2 0.498 0.498 0.498
Br1 0.738 0.738 0.738

Entry 2:
VASP calculation (GGA-PBE) on a relaxed structure of TmMg2Hg6.

DOS at the Fermi energy = 7.64 states/eV/cell
DFT formation energy = -0.21 eV per atom
space group = No. 15

abc: 8.947 8.947 5.423
angles: 97.60 97.60 76.94
Fractional coordinates of all 18 atoms:
Tm1 0.129 0.871 0.750
Tm2 0.871 0.129 0.250
Mg1 0.214 0.464 0.911
Mg2 0.464 0.214 0.411
Mg3 0.536 0.786 0.589
Mg4 0.786 0.536 0.089
Hg1 0.008 0.760 0.199
Hg2 0.099 0.356 0.347
Hg3 0.240 0.992 0.301
Hg4 0.320 0.568 0.472
Hg5 0.356 0.099 0.847
Hg6 0.432 0.680 0.028
Hg7 0.568 0.320 0.972
Hg8 0.644 0.901 0.153
Hg9 0.680 0.432 0.528
Hg10 0.760 0.008 0.699
Hg11 0.901 0.644 0.653
Hg12 0.992 0.240 0.801